The following is a DFT calculation (PBE) of a geometry-optimized ScAlZnOs structure.

a b c (Å): 4.4588 4.4588 4.4588
angles (deg): 60.00 60.00 60.00
With the nearest neighbours (Å) after each atom.
Fractional positions:
Zn 0.5000 0.5000 0.5000  4 Sc 2.73, 4 Al 2.73
Al 0.7500 0.7500 0.7500  4 Os 2.73, 4 Zn 2.73
Os 0.0000 0.0000 0.0000  4 Al 2.73, 4 Sc 2.73
Sc 0.2500 0.2500 0.2500  4 Os 2.73, 4 Zn 2.73

* size of the total moment: 0.0 μB/cell
* calculated formation energy: -0.319 eV/atom